A plane-wave DFT calculation with PBE was carried out for K2LaAu after structural relaxation.

Cell lengths 8.200, 8.200, 8.200 Å; angles 90.00, 90.00, 90.00 degrees
Positions (direct):
K: 0.250 0.250 0.250
K: 0.250 0.250 0.750
K: 0.250 0.750 0.250
K: 0.250 0.750 0.750
K: 0.750 0.250 0.250
K: 0.750 0.250 0.750
K: 0.750 0.750 0.250
K: 0.750 0.750 0.750
La: 0.000 0.000 0.000
La: 0.000 0.500 0.500
La: 0.500 0.000 0.500
La: 0.500 0.500 0.000
Au: 0.000 0.000 0.500
Au: 0.000 0.500 0.000
Au: 0.500 0.000 0.000
Au: 0.500 0.500 0.500

Properties
The calculation puts the total energy at -34.0 eV/cell. The density of states at the Fermi level comes out at 25.03 states/eV per cell. The calculation puts the energy relative to the lowest polymorph listed for this composition at 690 meV/atom. The formation energy from the elements is 0.47 eV per atom. For the total magnetic moment, the calculation gives 0.289 μB per atom.